Below is a geometry-optimized Cs2TlCr structure, with properties calculated at the PBE level.

## Properties
formation energy: 0.7278 eV per atom
density: 4.4 g/cm³
space-group type: Fm-3m (225)
VASP energy: -10.8 eV per cell

The structure in POSCAR format:
```
Cs2TlCr
1.0
-0.3737 1.9763 6.2298
-3.4548 5.3440 1.5371
-5.6333 -0.5768 3.2847
Cr Cs Tl
1 2 1
Direct
0.0000 0.0000 0.0000
0.7500 0.7500 0.7500
0.2500 0.2500 0.2500
0.5000 0.5000 0.5000
```